1.
Ca3InTe | PBE-GGA | optimized geometry

a = 5.831 Å, b = 5.831 Å, c = 5.831 Å
α = 90.00°, β = 90.00°, γ = 90.00°
Fractional coordinates of all 5 atoms:
Ca 0.000 0.000 0.500
Ca 0.000 0.500 0.000
Ca 0.500 0.000 0.000
In 0.500 0.500 0.500
Te 0.000 0.000 0.000

## Properties
The relative energy among the computed polymorphs comes out at 0 meV/atom. As for the total energy: -2.824 eV per atom. The magnetic moment comes out at 0.00 μB/cell.

***

2.
Li2AuSe | PBE-GGA | optimized geometry

a = 4.860 Å, b = 4.860 Å, c = 2.857 Å
α = 90.11°, β = 90.11°, γ = 89.99°
Fractional coordinates of all 4 atoms:
Li 0.000 0.500 0.000
Li 0.500 0.000 0.000
Au 0.000 0.000 0.500
Se 0.500 0.500 0.500

## Properties
The relative energy among the computed polymorphs comes out at 0 meV/atom. As for the total energy: -3.318 eV per atom. The magnetic moment comes out at 0.00 μB/cell.

***

3.
Li3TcPt | PBE-GGA | optimized geometry

a = 4.400 Å, b = 4.400 Å, c = 4.400 Å
α = 90.00°, β = 90.00°, γ = 90.00°
Fractional coordinates of all 5 atoms:
Li 0.000 0.000 0.500
Li 0.000 0.500 0.000
Li 0.500 0.000 0.000
Tc 0.500 0.500 0.500
Pt 0.000 0.000 0.000

## Properties
The formation energy from the elements is 4.5 eV/f.u. The relative energy among the computed polymorphs comes out at 0 meV/atom. As for the total energy: -3.521 eV per atom. The magnetic moment comes out at 0.00 μB/cell.